Rb2Mg2W3O12 | PBE+U | optimized geometry

Calculated values
Total DFT energy (no corrections) = -6.7286 eV/atom
Density = 4.72 g/cm³

Cell lengths 11.0630, 11.0630, 11.0630 Å; angles 90.00, 90.00, 90.00 degrees
Sites, in units of the cell vectors:
Rb: 0.3004 0.1996 0.8004
Rb: 0.1996 0.8004 0.3004
Rb: 0.6996 0.6996 0.6996
Rb: 0.8004 0.3004 0.1996
Rb: 0.4282 0.5718 0.0718
Rb: 0.9282 0.9282 0.9282
Rb: 0.0718 0.4282 0.5718
Rb: 0.5718 0.0718 0.4282
Mg: 0.3651 0.8651 0.6349
Mg: 0.8651 0.6349 0.3651
Mg: 0.6349 0.3651 0.8651
Mg: 0.1349 0.1349 0.1349
Mg: 0.4112 0.4112 0.4112
Mg: 0.5888 0.9112 0.0888
Mg: 0.9112 0.0888 0.5888
Mg: 0.0888 0.5888 0.9112
W: 0.4502 0.2217 0.1281
W: 0.8719 0.9502 0.2783
W: 0.7217 0.3719 0.5498
W: 0.9502 0.2783 0.8719
W: 0.3719 0.5498 0.7217
W: 0.2217 0.1281 0.4502
W: 0.5498 0.7217 0.3719
W: 0.1281 0.4502 0.2217
W: 0.2783 0.8719 0.9502
W: 0.0498 0.7783 0.6281
W: 0.6281 0.0498 0.7783
W: 0.7783 0.6281 0.0498
O: 0.5035 0.0684 0.1466
O: 0.8534 0.0035 0.4316
O: 0.5684 0.3534 0.4965
O: 0.0035 0.4316 0.8534
O: 0.3534 0.4965 0.5684
O: 0.0684 0.1466 0.5035
O: 0.4965 0.5684 0.3534
O: 0.1466 0.5035 0.0684
O: 0.4316 0.8534 0.0035
O: 0.9965 0.9316 0.6466
O: 0.6466 0.9965 0.9316
O: 0.9316 0.6466 0.9965
O: 0.2940 0.2245 0.0760
O: 0.9240 0.7940 0.2755
O: 0.7245 0.4240 0.7060
O: 0.7940 0.2755 0.9240
O: 0.4240 0.7060 0.7245
O: 0.2245 0.0760 0.2940
O: 0.7060 0.7245 0.4240
O: 0.0760 0.2940 0.2245
O: 0.2755 0.9240 0.7940
O: 0.2060 0.7755 0.5760
O: 0.5760 0.2060 0.7755
O: 0.7755 0.5760 0.2060
O: 0.5409 0.3053 0.0198
O: 0.9802 0.0409 0.1947
O: 0.8053 0.4802 0.4591
O: 0.0409 0.1947 0.9802
O: 0.4802 0.4591 0.8053
O: 0.3053 0.0198 0.5409
O: 0.4591 0.8053 0.4802
O: 0.0198 0.5409 0.3053
O: 0.1947 0.9802 0.0409
O: 0.9591 0.6947 0.5198
O: 0.5198 0.9591 0.6947
O: 0.6947 0.5198 0.9591
O: 0.4699 0.2965 0.2723
O: 0.7277 0.9699 0.2035
O: 0.7965 0.2277 0.5301
O: 0.9699 0.2035 0.7277
O: 0.2277 0.5301 0.7965
O: 0.2965 0.2723 0.4699
O: 0.5301 0.7965 0.2277
O: 0.2723 0.4699 0.2965
O: 0.2035 0.7277 0.9699
O: 0.0301 0.7035 0.7723
O: 0.7723 0.0301 0.7035
O: 0.7035 0.7723 0.0301